Below is an optimized crystal structure of Mg2GaGe2Pd5, with properties calculated at the GGA-PBE level.

POSCAR file:
```
Mg2GaGe2Pd5
1.0
9.995 0.000 0.000
0.000 9.995 0.000
0.000 0.000 3.321
Mg Ga Ge Pd
4 2 4 10
direct
0.168 0.332 0.000 Mg
0.332 0.832 0.000 Mg
0.668 0.168 0.000 Mg
0.832 0.668 0.000 Mg
0.000 0.000 0.000 Ga
0.500 0.500 0.000 Ga
0.137 0.637 0.000 Ge
0.363 0.137 0.000 Ge
0.637 0.863 0.000 Ge
0.863 0.363 0.000 Ge
0.000 0.500 0.500 Pd
0.032 0.797 0.500 Pd
0.203 0.032 0.500 Pd
0.297 0.532 0.500 Pd
0.468 0.297 0.500 Pd
0.500 0.000 0.500 Pd
0.532 0.703 0.500 Pd
0.703 0.468 0.500 Pd
0.797 0.968 0.500 Pd
0.968 0.203 0.500 Pd
```

Properties
Energy relative to the elements in meV/atom: -535
Total DFT energy (no corrections) in eV/cell: -93.5